# 1
# Fe3Br, relaxed, DFT PBE-GGA
data_Fe3Br
_chemical_formula_sum 'Fe12 Br4'
_space_group_name_H-M_alt 'P 63/m m c'
_space_group_IT_number 194
_space_group_name_Hall '-P 6c 2c'
_cell_length_a 5.7420
_cell_length_b 5.7420
_cell_length_c 8.5214
_cell_angle_alpha 90.00
_cell_angle_beta 90.00
_cell_angle_gamma 120.00
loop_
_atom_site_label
_atom_site_type_symbol
_atom_site_fract_x
_atom_site_fract_y
_atom_site_fract_z
Fe1 Fe 0.0000 0.5000 0.0000
Fe2 Fe 0.1956 0.3912 0.2500
Br1 Br 0.0000 0.0000 0.0000
Br2 Br 0.3333 0.6667 0.7500
# - E above lowest polymorph (meV/atom) = 286
# - magnetization (Bohr magnetons per cell) = 35.09
# - energy relative to the elements, uncorrected (eV/atom) = 0.67
# - VASP energy (eV per cell) = -97.525

---

# 2
# Ca2CuSi3Pt4, relaxed, DFT PBE-GGA
data_Ca2CuSi3Pt4
_chemical_formula_sum 'Ca2 Cu1 Si3 Pt4'
_space_group_name_H-M_alt 'P -4 m 2'
_space_group_IT_number 115
_cell_length_a 4.1918
_cell_length_b 4.1918
_cell_length_c 10.1199
_cell_angle_alpha 90.00
_cell_angle_beta 90.00
_cell_angle_gamma 90.00
loop_
_space_group_symop_operation_xyz
'x,y,z'
'y,-x,-z'
'-x,-y,z'
'-y,x,-z'
'-x,y,z'
'-y,-x,-z'
'x,-y,z'
'y,x,-z'
loop_
_atom_site_label
_atom_site_type_symbol
_atom_site_fract_x
_atom_site_fract_y
_atom_site_fract_z
Ca1 Ca 0.0000 0.5000 0.2419
Cu1 Cu 0.5000 0.5000 0.0000
Si1 Si 0.0000 0.0000 0.0000
Si2 Si 0.0000 0.5000 0.6309
Pt1 Pt 0.0000 0.0000 0.5000
Pt2 Pt 0.0000 0.5000 0.8637
Pt3 Pt 0.5000 0.5000 0.5000
# - magnetization (Bohr magnetons per cell) = 0.00
# - energy relative to the elements, uncorrected (eV/atom) = -0.87
# - VASP energy (eV per cell) = -57.233

---

# 3
# Eu2SiSn, relaxed, DFT PBE-GGA
data_Eu2SiSn
_chemical_formula_sum 'Eu2 Si1 Sn1'
_space_group_name_H-M_alt 'P 4/m m m'
_space_group_IT_number 123
_space_group_name_Hall '-P 4 2'
_cell_length_a 4.8785
_cell_length_b 4.8785
_cell_length_c 4.4711
_cell_angle_alpha 90.00
_cell_angle_beta 90.00
_cell_angle_gamma 90.00
loop_
_atom_site_label
_atom_site_type_symbol
_atom_site_fract_x
_atom_site_fract_y
_atom_site_fract_z
Eu1 Eu 0.0000 0.5000 0.0000
Si1 Si 0.0000 0.0000 0.5000
Sn1 Sn 0.5000 0.5000 0.5000
# - E above lowest polymorph (meV/atom) = 43
# - magnetization (Bohr magnetons per cell) = 13.96
# - energy relative to the elements, uncorrected (eV/atom) = -0.45
# - VASP energy (eV per cell) = -31.771

---

# 4
# Ac3SnPb, relaxed, DFT PBE-GGA
data_Ac3SnPb
_chemical_formula_sum 'Ac6 Sn2 Pb2'
_space_group_name_H-M_alt 'P m m n'
_space_group_IT_number 59
_cell_length_a 5.0341
_cell_length_b 7.7927
_cell_length_c 10.4455
_cell_angle_alpha 90.00
_cell_angle_beta 90.00
_cell_angle_gamma 90.00
loop_
_space_group_symop_operation_xyz
'x,y,z'
'-x,-y,-z'
'-x+1/2,-y+1/2,z'
'x+1/2,y+1/2,-z'
'x+1/2,-y,-z'
'-x+1/2,y,z'
'-x,y+1/2,-z'
'x,-y+1/2,z'
loop_
_atom_site_label
_atom_site_type_symbol
_atom_site_fract_x
_atom_site_fract_y
_atom_site_fract_z
Ac1 Ac 0.2500 0.0176 0.1743
Ac2 Ac 0.2500 0.2500 0.5720
Sn1 Sn 0.2500 0.2500 0.8994
Pb1 Pb 0.2500 0.7500 0.6425
# - energy of formation (meV per atom) = -489
# - magnetization (Bohr magnetons per cell) = 0.21
# - VASP energy (eV per cell) = -44.964

---

# 5
# Ba4SbO, relaxed, DFT PBE-GGA
data_Ba4SbO
_chemical_formula_sum 'Ba4 Sb1 O1'
_space_group_name_H-M_alt 'P 1 m 1'
_space_group_IT_number 6
_cell_length_a 6.1672
_cell_length_b 5.1652
_cell_length_c 8.7444
_cell_angle_alpha 90.00
_cell_angle_beta 110.13
_cell_angle_gamma 90.00
loop_
_space_group_symop_operation_xyz
'x,y,z'
'x,-y,z'
loop_
_atom_site_label
_atom_site_type_symbol
_atom_site_fract_x
_atom_site_fract_y
_atom_site_fract_z
Ba1 Ba 0.0000 0.0000 0.0000
Ba2 Ba 0.2153 0.0000 0.4815
Ba3 Ba 0.4326 0.5000 0.8724
Ba4 Ba 0.6997 0.5000 0.4910
Sb1 Sb 0.5963 0.0000 0.2055
O1 O 0.3369 0.5000 0.5640
# - magnetization (Bohr magnetons per cell) = 0.03
# - energy relative to the elements, uncorrected (eV/atom) = -1.16
# - VASP energy (eV per cell) = -23.747

---

# 6
# MgAsRhO5, relaxed, DFT PBE-GGA
data_MgAsRhO5
_chemical_formula_sum 'Mg4 As4 Rh4 O20'
_space_group_name_H-M_alt 'C 1 2/c 1'
_space_group_IT_number 15
_cell_length_a 6.5661
_cell_length_b 8.6384
_cell_length_c 7.2648
_cell_angle_alpha 90.00
_cell_angle_beta 113.23
_cell_angle_gamma 90.00
loop_
_space_group_symop_operation_xyz
'x,y,z'
'-x,-y,-z'
'-x,y,-z+1/2'
'x,-y,z+1/2'
'x+1/2,y+1/2,z'
'-x+1/2,-y+1/2,-z'
'-x+1/2,y+1/2,-z+1/2'
'x+1/2,-y+1/2,z+1/2'
loop_
_atom_site_label
_atom_site_type_symbol
_atom_site_fract_x
_atom_site_fract_y
_atom_site_fract_z
Mg1 Mg 0.0000 0.1712 0.2500
As1 As 0.0000 0.1771 0.7500
Rh1 Rh 0.0000 0.5000 0.0000
O1 O 0.0000 0.3977 0.2500
O2 O 0.1367 0.2915 0.6374
O3 O 0.1679 0.0440 0.9257
# - magnetization (Bohr magnetons per cell) = 0.00
# - energy relative to the elements, uncorrected (eV/atom) = -1.34
# - VASP energy (eV per cell) = -196.314

---

no.,calculated volume (Å³/atom)
1,15.21
2,17.78
3,26.60
4,40.98
5,43.59
6,11.83